1.
Below is a relaxed structure of CuTcH2, with properties calculated at the PBE level.

```
CuTcH2
1.0
4.318 0.000 0.000
0.000 4.318 0.000
2.159 2.159 3.647
Tc H Cu
2 4 2
direct
0.750 0.250 0.500
0.000 0.000 0.000
0.875 0.863 0.750
0.375 0.387 0.750
0.137 0.625 0.250
0.613 0.125 0.250
0.250 0.750 0.500
0.500 0.500 0.000
```

V   68.0 Å³ per cell
DOS(E_F)   0.344 states/eV/atom
Final energy   -5.012 eV/atom
Total magnetization   0.00 μB/f.u.

2.
Below is a relaxed structure of Rb2ScCoCl6, with properties calculated at the PBE level.

```
Rb2ScCoCl6
1.0
-6.886 -1.921 -2.035
-1.895 -0.776 7.145
-5.650 3.018 2.695
Rb Cl Sc Co
2 6 1 1
direct
0.750 0.250 0.500
0.250 0.750 0.500
0.257 0.257 0.000
0.743 0.257 0.000
0.743 0.743 0.000
0.760 0.760 0.480
0.257 0.743 0.000
0.240 0.240 0.520
0.500 0.500 0.000
0.000 0.000 0.000
```

V   251.2 Å³ per cell
DOS(E_F)   0.000 states/eV/atom
Final energy   -4.236 eV/atom
Energy relative to the elements, uncorrected   -153.5 kJ per mole of atoms
Total magnetization   2.00 μB/f.u.

3.
Below is a relaxed structure of MnBiAuCl2, with properties calculated at the PBE level.

```
MnBiAuCl2
1.0
-3.957 -1.858 -2.196
3.219 -1.083 -4.885
1.126 -4.437 1.725
Mn Au Cl Bi
1 1 2 1
direct
0.500 0.500 0.500
0.000 0.000 0.000
0.000 0.000 0.500
0.500 0.000 0.000
0.000 0.500 0.000
```

V   142.4 Å³ per cell
DOS(E_F)   0.521 states/eV/atom
Final energy   -3.669 eV/atom
Energy relative to the elements, uncorrected   32.4 kJ per mole of atoms
Total magnetization   4.46 μB/f.u.